Record 1
La2TbPm6Pr3 | PBE | relaxed

abc: 6.3732 6.3732 12.1872
angles: 95.03 95.03 120.00
Fractional positions:
1 La 0.1668 0.8332 0.0000
2 La 0.8332 0.1668 0.0000
3 Tb 0.5000 0.5000 0.0000
4 Pm 0.0848 0.4169 0.7503
5 Pm 0.2510 0.2510 0.2497
6 Pm 0.4169 0.0848 0.7503
7 Pm 0.5831 0.9152 0.2497
8 Pm 0.7490 0.7490 0.7503
9 Pm 0.9152 0.5831 0.2497
10 Pr 0.0000 0.0000 0.5000
11 Pr 0.3335 0.6665 0.5000
12 Pr 0.6665 0.3335 0.5000

Properties
theoretical density: 6.8 g cm⁻³
symmetry: C2/m (12)
ΔE_f: 15.1 meV/atom

=====

Record 2
DyUTe2N | PBE | relaxed

abc: 4.0468 4.0468 16.0443
angles: 90.00 90.00 90.00
Fractional positions:
1 Dy 0.2500 0.2500 0.1366
2 Dy 0.7500 0.7500 0.8634
3 U 0.2500 0.2500 0.5676
4 U 0.7500 0.7500 0.4324
5 Te 0.2500 0.2500 0.3202
6 Te 0.2500 0.2500 0.9187
7 Te 0.7500 0.7500 0.0813
8 Te 0.7500 0.7500 0.6798
9 N 0.2500 0.7500 0.5000
10 N 0.7500 0.2500 0.5000

Properties
energy relative to the elements, uncorrected: -1.259 eV/atom
theoretical density: 8.5 g cm⁻³
symmetry: P4/nmm (129)

=====

Record 3
Ga2ReW | PBE | relaxed

abc: 6.9821 6.9821 5.4114
angles: 90.00 90.00 90.00
Fractional positions:
1 Ga 0.2429 0.2500 0.1250
2 Ga 0.2500 0.7429 0.3750
3 Ga 0.2500 0.7571 0.8750
4 Ga 0.2571 0.2500 0.6250
5 Ga 0.7429 0.7500 0.6250
6 Ga 0.7500 0.2429 0.8750
7 Ga 0.7500 0.2571 0.3750
8 Ga 0.7571 0.7500 0.1250
9 Re 0.0000 0.0000 0.0000
10 Re 0.0000 0.5000 0.2500
11 Re 0.5000 0.0000 0.7500
12 Re 0.5000 0.5000 0.5000
13 W 0.0000 0.0000 0.5000
14 W 0.0000 0.5000 0.7500
15 W 0.5000 0.0000 0.2500
16 W 0.5000 0.5000 0.0000

Properties
theoretical density: 12.8 g cm⁻³
symmetry: I-42d (122)
relative energy among the computed polymorphs: 37.8 kJ/mol of atoms
ΔE_f: 783.0 meV/atom

=====

Record 4
MgSc2InO | PBE | relaxed

abc: 4.4531 4.4531 4.4324
angles: 90.00 90.00 90.00
Fractional positions:
1 Mg 0.0000 0.0000 0.0000
2 Sc 0.0000 0.5000 0.5000
3 Sc 0.5000 0.0000 0.5000
4 In 0.5000 0.5000 0.0000
5 O 0.0000 0.0000 0.5000

Properties
energy relative to the elements, uncorrected: -1.313 eV/atom
theoretical density: 4.6 g cm⁻³
symmetry: P4/mmm (123)